LaSc3Si: relaxed, PBE.

extended XYZ file:
```
5
Lattice="5.0983 0.0000 0.0000 0.0000 5.0983 0.0000 0.0000 0.0000 5.0983" Properties=species:S:1:pos:R:3 pbc="T T T"
La 0.0000 0.0000 0.0000
Sc 0.0000 0.0000 2.5492
Sc 0.0000 2.5492 0.0000
Sc 2.5492 0.0000 0.0000
Si 2.5492 2.5492 2.5492
```

Energy relative to the elements, uncorrected: 1.124 eV/atom
Space-group type: Pm-3m (221)
ΔE to the lowest computed polymorph: 1180.0 meV/atom
Calculated volume: 26.50 A^3/atom
Final energy: -4.75 eV/atom

---

LaScSi2: relaxed, PBE.

extended XYZ file:
```
4
Lattice="2.3678 -2.3767 0.0000 2.3678 2.3767 0.0000 0.0000 0.0000 7.8726" Properties=species:S:1:pos:R:3 pbc="T T T"
La 0.0000 0.0000 0.0000
Sc 2.3678 0.0000 3.0237
Si 0.0000 0.0000 4.7288
Si 2.3678 0.0000 5.7477
```

Energy relative to the elements, uncorrected: -0.207 eV/atom
Space-group type: Cmm2 (35)
ΔE to the lowest computed polymorph: 476.5 meV/atom
Calculated volume: 22.15 A^3/atom
Final energy: -5.73 eV/atom

---

LaScSiTc2: relaxed, PBE.

extended XYZ file:
```
5
Lattice="4.7081 0.0000 0.0000 0.0000 4.7081 0.0000 0.0000 0.0000 5.0059" Properties=species:S:1:pos:R:3 pbc="T T T"
La 0.0000 0.0000 0.0000
Sc 2.3540 2.3540 2.5030
Si 2.3540 2.3540 0.0000
Tc 0.0000 2.3540 2.5030
Tc 2.3540 0.0000 2.5030
```

Energy relative to the elements, uncorrected: 0.827 eV/atom
Space-group type: P4/mmm (123)
Calculated volume: 22.19 A^3/atom
Final energy: -6.66 eV/atom

---

LaScTiSi2: relaxed, PBE.

extended XYZ file:
```
5
Lattice="4.9981 0.0000 0.0000 0.0000 4.9981 0.0000 0.0000 0.0000 4.5519" Properties=species:S:1:pos:R:3 pbc="T T T"
La 0.0000 0.0000 0.0000
Sc 2.4991 2.4991 2.2760
Ti 2.4991 2.4991 0.0000
Si 0.0000 2.4991 2.2760
Si 2.4991 0.0000 2.2760
```

Energy relative to the elements, uncorrected: 0.252 eV/atom
Space-group type: P4/mmm (123)
ΔE to the lowest computed polymorph: 0.0 meV/atom
Calculated volume: 22.74 A^3/atom
Final energy: -5.75 eV/atom

---

LaScTiSi2: relaxed, PBE.

extended XYZ file:
```
5
Lattice="4.8622 0.0000 0.0000 0.0000 4.8622 0.0000 0.0000 0.0000 5.0361" Properties=species:S:1:pos:R:3 pbc="T T T"
La 0.0000 0.0000 0.0000
Sc 2.4311 2.4311 0.0000
Ti 0.0000 0.0000 2.5180
Si 0.0000 2.4311 2.5180
Si 2.4311 0.0000 2.5180
```

Energy relative to the elements, uncorrected: 0.320 eV/atom
Space-group type: P4/mmm (123)
ΔE to the lowest computed polymorph: 67.7 meV/atom
Calculated volume: 23.81 A^3/atom
Final energy: -5.68 eV/atom

---

La2SmSc: relaxed, PBE.

extended XYZ file:
```
4
Lattice="1.8080 1.0439 11.4952 -1.8080 1.0439 11.4952 0.0000 -2.0877 11.4952" Properties=species:S:1:pos:R:3 pbc="T T T"
La 0.0000 0.0000 8.4782
La 0.0000 0.0000 26.0075
Sm 0.0000 0.0000 0.0000
Sc 0.0000 0.0000 17.2428
```

Space-group type: R-3m (166)
ΔE to the lowest computed polymorph: 7.5 meV/atom
Calculated volume: 32.54 A^3/atom
Final energy: -5.18 eV/atom

---

La5SmSc: relaxed, PBE.

extended XYZ file:
```
7
Lattice="5.4785 0.0000 0.0000 0.0000 5.4785 0.0000 0.0000 0.0000 8.5376" Properties=species:S:1:pos:R:3 pbc="T T T"
La 0.0000 0.0000 0.0000
La 0.0000 2.7392 2.4923
La 0.0000 2.7392 6.0454
La 2.7392 0.0000 2.4923
La 2.7392 0.0000 6.0454
Sm 2.7392 2.7392 0.0000
Sc 2.7392 2.7392 4.2688
```

Space-group type: P4/mmm (123)
Calculated volume: 36.61 A^3/atom
Final energy: -4.87 eV/atom

---

LaSm9Sc2: relaxed, PBE.

extended XYZ file:
```
12
Lattice="5.0546 0.0000 0.0000 0.0000 5.0546 0.0000 0.0000 0.0000 15.2043" Properties=species:S:1:pos:R:3 pbc="T T T"
La 0.0000 0.0000 0.0000
Sm 0.0000 2.5273 2.6549
Sm 0.0000 2.5273 7.6022
Sm 0.0000 2.5273 12.5494
Sm 2.5273 0.0000 2.6549
Sm 2.5273 0.0000 7.6022
Sm 2.5273 0.0000 12.5494
Sm 2.5273 2.5273 0.0000
Sm 2.5273 2.5273 5.1520
Sm 2.5273 2.5273 10.0523
Sc 0.0000 0.0000 5.1220
Sc 0.0000 0.0000 10.0824
```

Space-group type: P4/mmm (123)
Calculated volume: 32.37 A^3/atom
Final energy: -4.96 eV/atom

---

| no. | density (kg/m³) | total moment (μB per cell) |
| --- | --- | --- |
| 1 | 3782 | 0.0 |
| 2 | 4498 | 0.0 |
| 3 | 6105 | 1.4 |
| 4 | 4204 | 0.0 |
| 5 | 4015 | 0.5 |
| 6 | 6035 | 0.0 |
| 7 | 5766 | 0.2 |
| 8 | 6763 | 0.0 |